--- a ---
# LiHfSi3, optimized geometry, DFT PBE
data_LiHfSi3
_symmetry_space_group_name_H-M 'P 1'
_symmetry_Int_Tables_number 1
_cell_length_a 4.319
_cell_length_b 4.319
_cell_length_c 4.319
_cell_angle_alpha 90.00
_cell_angle_beta 90.00
_cell_angle_gamma 90.00
loop_
_symmetry_equiv_pos_as_xyz
'x,y,z'
loop_
_atom_site_label
_atom_site_fract_x
_atom_site_fract_y
_atom_site_fract_z
_atom_site_occupancy
Li1 0.000 0.000 0.000 1
Hf1 0.500 0.500 0.500 1
Si1 0.000 0.000 0.500 1
Si2 0.000 0.500 0.000 1
Si3 0.500 0.000 0.000 1
# Total moment, μB/f.u.: 0.0

--- b ---
# LiHfSi3, optimized geometry, DFT PBE
data_LiHfSi3
_symmetry_space_group_name_H-M 'P 1'
_symmetry_Int_Tables_number 1
_cell_length_a 5.063
_cell_length_b 5.063
_cell_length_c 5.063
_cell_angle_alpha 90.00
_cell_angle_beta 90.00
_cell_angle_gamma 90.00
loop_
_symmetry_equiv_pos_as_xyz
'x,y,z'
loop_
_atom_site_label
_atom_site_fract_x
_atom_site_fract_y
_atom_site_fract_z
_atom_site_occupancy
Li1 0.000 0.000 0.000 1
Hf1 0.500 0.500 0.500 1
Si1 0.000 0.500 0.500 1
Si2 0.500 0.000 0.500 1
Si3 0.500 0.500 0.000 1
# Total moment, μB/f.u.: 0.0

b takes first place; second place is 0.038 eV/atom up.